Zn2GePt8: optimized geometry, GGA-PBE.

```
data_Zn2GePt8
_chemical_formula_sum 'Zn4 Ge2 Pt16'
_space_group_name_H-M_alt 'C 1 2/m 1'
_space_group_IT_number 12
_cell_length_a 16.302
_cell_length_b 4.060
_cell_length_c 5.527
_cell_angle_alpha 90.00
_cell_angle_beta 107.10
_cell_angle_gamma 90.00
loop_
_space_group_symop_operation_xyz
'x,y,z'
'-x,-y,-z'
'-x,y,-z'
'x,-y,z'
'x+1/2,y+1/2,z'
'-x+1/2,-y+1/2,-z'
'-x+1/2,y+1/2,-z'
'x+1/2,-y+1/2,z'
loop_
_atom_site_label
_atom_site_type_symbol
_atom_site_fract_x
_atom_site_fract_y
_atom_site_fract_z
Zn1 Zn 0.186 0.000 0.243
Ge1 Ge 0.000 0.500 0.500
Pt1 Pt 0.021 0.000 0.249
Pt2 Pt 0.109 0.500 0.932
Pt3 Pt 0.146 0.500 0.468
Pt4 Pt 0.215 0.000 0.805
```

## Properties
polymorph energy (0 for the lowest one)	0.023	eV/atom
VASP energy	-5.302	eV per atom
total magnetic moment	0.00	μB per formula unit
D(E_F)	0.64	states/eV per atom
formation energy	-0.2573	eV/atom
ρ	16.76	g/cm3